The following is a DFT calculation (PBE+U) of Pa2CrO6 after structural relaxation.

Summary:
* E_tot: -9.369 eV per atom

Geometry as CIF:
```
data_Pa2CrO6
_space_group_name_H-M_alt 'P 1'
_space_group_IT_number 1
_cell_length_a 5.643
_cell_length_b 5.347
_cell_length_c 9.482
_cell_angle_alpha 90.00
_cell_angle_beta 93.18
_cell_angle_gamma 90.00
loop_
_space_group_symop_operation_xyz
'x,y,z'
loop_
_atom_site_label
_atom_site_fract_x
_atom_site_fract_y
_atom_site_fract_z
Pa1 0.997 0.461 0.812
Pa2 0.503 0.961 0.688
Pa3 0.497 0.039 0.312
Pa4 0.003 0.539 0.188
Cr1 0.500 0.500 0.000
Cr2 0.000 0.000 0.500
O1 0.831 0.818 0.323
O2 0.814 0.723 0.674
O3 0.829 0.666 0.988
O4 0.671 0.166 0.512
O5 0.686 0.223 0.826
O6 0.669 0.318 0.177
O7 0.169 0.182 0.677
O8 0.186 0.277 0.326
O9 0.171 0.334 0.012
O10 0.329 0.834 0.488
O11 0.314 0.777 0.174
O12 0.331 0.682 0.823
```